# 1
# Er2RhSe, optimized geometry, DFT PBE-GGA
data_Er2RhSe
_space_group_name_H-M_alt 'R 3 m'
_space_group_IT_number 160
_space_group_name_Hall 'R 3 -2"'
_cell_length_a 3.9311
_cell_length_b 3.9311
_cell_length_c 21.2235
_cell_angle_alpha 90.00
_cell_angle_beta 90.00
_cell_angle_gamma 120.00
loop_
_atom_site_label
_atom_site_fract_x
_atom_site_fract_y
_atom_site_fract_z
_atom_site_occupancy
Er1 0.0000 0.0000 0.0000 1
Er2 0.0000 0.0000 0.1851 1
Rh1 0.0000 0.0000 0.5915 1
Se1 0.0000 0.0000 0.4258 1
# E above lowest polymorph ... 97 meV per atom
# Uncorrected formation energy ... -1.207 eV per atom

# 2
# BiPt10Pb, optimized geometry, DFT PBE-GGA
data_BiPt10Pb
_space_group_name_H-M_alt 'P m m m'
_space_group_IT_number 47
_cell_length_a 4.4820
_cell_length_b 5.4198
_cell_length_c 9.2888
_cell_angle_alpha 90.00
_cell_angle_beta 90.00
_cell_angle_gamma 90.00
loop_
_space_group_symop_operation_xyz
'x,y,z'
'-x,-y,-z'
'-x,-y,z'
'x,y,-z'
'x,-y,-z'
'-x,y,z'
'-x,y,-z'
'x,-y,z'
loop_
_atom_site_label
_atom_site_fract_x
_atom_site_fract_y
_atom_site_fract_z
_atom_site_occupancy
Bi1 0.0000 0.0000 0.0000 1
Pt1 0.0000 0.0000 0.3317 1
Pt2 0.0000 0.5000 0.1647 1
Pt3 0.5000 0.0000 0.5000 1
Pt4 0.5000 0.2494 0.2487 1
Pt5 0.5000 0.5000 0.0000 1
Pb1 0.0000 0.5000 0.5000 1
# ΔE_f ... -0.0429 eV/atom

# 3
# Tb2ZrSc6, optimized geometry, DFT PBE-GGA
data_Tb2ZrSc6
_space_group_name_H-M_alt 'C 1 2/m 1'
_space_group_IT_number 12
_cell_length_a 15.6922
_cell_length_b 9.0629
_cell_length_c 3.2350
_cell_angle_alpha 90.00
_cell_angle_beta 90.13
_cell_angle_gamma 90.00
loop_
_space_group_symop_operation_xyz
'x,y,z'
'-x,-y,-z'
'-x,y,-z'
'x,-y,z'
'x+1/2,y+1/2,z'
'-x+1/2,-y+1/2,-z'
'-x+1/2,y+1/2,-z'
'x+1/2,-y+1/2,z'
loop_
_atom_site_label
_atom_site_fract_x
_atom_site_fract_y
_atom_site_fract_z
_atom_site_occupancy
Tb1 0.1668 0.0000 0.9998 1
Zr1 0.0000 0.5000 0.0000 1
Sc1 0.0000 0.1750 0.5000 1
Sc2 0.1625 0.3376 0.5004 1
# E above lowest polymorph ... 0 meV per atom
# ΔE_f ... 0.0577 eV/atom